A relaxed KZr3Co crystal. Source: the Alexandria database, functional PBE.

The total energy is -4.47 eV per atom. The size of the total moment comes out at 0.00 μB per formula unit. The value obtained for the energy above the lowest structure with this stoichiometry is 1756 meV/atom. The value obtained for the calculated volume is 21.951 Å³ per atom. For the density of states at the Fermi level, the calculation gives 8.53 states/eV/f.u.

extended XYZ file:
```
5
Lattice="4.788 0.000 0.000 0.000 4.788 0.000 0.000 0.000 4.788" Properties=species:S:1:pos:R:3 pbc="T T T"
Zr 0.000 0.000 2.394
Zr 2.394 0.000 0.000
Zr 0.000 2.394 0.000
Co 2.394 2.394 2.394
K 0.000 0.000 0.000
```

=====

A relaxed Dy2YZn3 crystal. Source: the Alexandria database, functional PBE.

The total energy is -3.59 eV per atom. The size of the total moment comes out at 0.00 μB per formula unit. The value obtained for the calculated volume is 22.818 Å³ per atom. For the density of states at the Fermi level, the calculation gives 6.94 states/eV/f.u.

extended XYZ file:
```
6
Lattice="3.575 0.000 0.000 0.000 3.575 0.000 0.000 0.000 10.713" Properties=species:S:1:pos:R:3 pbc="T T T"
Dy 1.787 1.787 1.780
Dy 1.787 1.787 8.933
Zn 0.000 0.000 0.000
Zn 0.000 0.000 7.154
Zn 0.000 0.000 3.559
Y 1.787 1.787 5.357
```

=====

A relaxed HfMnPb crystal. Source: the Alexandria database, functional PBE.

The total energy is -7.44 eV per atom. The size of the total moment comes out at 0.72 μB per formula unit. The value obtained for the energy above the lowest structure with this stoichiometry is 163 meV/atom. The value obtained for the calculated volume is 20.347 Å³ per atom. For the density of states at the Fermi level, the calculation gives 2.67 states/eV/f.u.

extended XYZ file:
```
12
Lattice="5.779 0.000 -0.045 0.000 3.313 0.000 -3.365 0.000 12.782" Properties=species:S:1:pos:R:3 pbc="T T T"
Mn -1.504 1.656 6.452
Mn 1.562 1.656 0.604
Mn 0.179 0.000 0.061
Mn -0.120 0.000 6.995
Pb 2.551 0.000 8.039
Pb 4.233 1.656 1.648
Pb -0.317 1.656 9.324
Pb 1.366 0.000 2.933
Hf 4.319 0.000 4.471
Hf 2.637 1.656 10.862
Hf -0.274 0.000 11.940
Hf 1.409 1.656 5.549
```

=====

A relaxed Tb2Th6Sc crystal. Source: the Alexandria database, functional PBE.

The total energy is -6.47 eV per atom. The size of the total moment comes out at 0.00 μB per formula unit. The value obtained for the calculated volume is 32.207 Å³ per atom. For the density of states at the Fermi level, the calculation gives 14.02 states/eV/f.u.

extended XYZ file:
```
18
Lattice="-3.662 0.178 -5.339 4.398 -7.327 -4.497 -5.363 -7.728 2.184" Properties=species:S:1:pos:R:3 pbc="T T T"
Tb -3.810 -4.495 -5.129
Tb -0.817 -10.381 -2.522
Tb -3.305 -10.319 -4.741
Tb -1.321 -4.558 -2.910
Th -5.545 -7.690 -5.544
Th 2.305 -5.619 -4.936
Th -0.662 -4.478 -6.471
Th -6.932 -9.258 -2.716
Th -0.904 -7.664 -4.799
Th -3.706 -4.768 -0.465
Th 0.918 -7.187 -2.107
Th -3.723 -7.213 -2.853
Th -0.921 -10.109 -7.186
Th -6.944 -5.835 -2.528
Th -3.964 -10.398 -1.181
Th 2.317 -9.042 -5.124
Sc -5.168 -7.638 0.089
Sc 0.541 -7.239 -7.741
```

=====

> The highest calculated volume belongs to which entry?

Tb2Th6Sc

=====

> What is the formula in the first record?

KZr3Co